## LaAlVFe2 (PBE-GGA)

Data for LaAlVFe2 after structural relaxation.

Geometry as CIF:
```
data_LaAlVFe2
_cell_length_a 4.4399
_cell_length_b 4.4399
_cell_length_c 5.3035
_cell_angle_alpha 90.00
_cell_angle_beta 90.00
_cell_angle_gamma 90.00
_symmetry_space_group_name_H-M 'P 4/m m m'
_symmetry_Int_Tables_number 123
_symmetry_space_group_name_Hall '-P 4 2'
loop_
_atom_site_label
_atom_site_type_symbol
_atom_site_fract_x
_atom_site_fract_y
_atom_site_fract_z
_atom_site_occupancy
La1 La 0.0000 0.0000 0.0000 1
Al1 Al 0.5000 0.5000 0.0000 1
V1 V 0.0000 0.0000 0.5000 1
Fe1 Fe 0.0000 0.5000 0.5000 1
```

volume = 20.910 A^3/atom
D(E_F) = 5.34 states/eV per cell
total moment = 2.740 μB per formula unit
calculated formation energy = 0.90 eV per atom